1:
The following is a DFT calculation (PBE-GGA) of crystalline Dy6Tl5Cd at its relaxed geometry.

Cell and atoms, written as POSCAR:
```
Dy6Tl5Cd
1.0
3.233 -5.627 0.000
3.233 5.627 0.000
-2.195 0.000 9.590
Dy Tl Cd
6 5 1
Direct
0.082 0.414 0.748
0.248 0.248 0.250
0.414 0.082 0.748
0.586 0.918 0.252
0.752 0.752 0.750
0.918 0.586 0.252
0.169 0.831 0.000
0.335 0.665 0.500
0.500 0.500 0.000
0.665 0.335 0.500
0.831 0.169 0.000
0.000 0.000 0.500
```

Properties
Space group ... C2/m, No. 12



2:
The following is a DFT calculation (PBE-GGA) of crystalline Dy6Tl5Cd at its relaxed geometry.

Cell and atoms, written as POSCAR:
```
Dy6Tl5Cd
1.0
2.684 -8.065 0.000
2.684 8.065 0.000
0.000 0.000 7.504
Dy Tl Cd
6 5 1
Direct
0.000 0.000 0.249
0.000 0.000 0.751
0.334 0.666 0.248
0.334 0.666 0.752
0.666 0.334 0.248
0.666 0.334 0.752
0.163 0.837 0.000
0.167 0.833 0.500
0.500 0.500 0.500
0.833 0.167 0.500
0.837 0.163 0.000
0.500 0.500 0.000
```

Properties
Space group ... Cmmm, No. 65



2 wins, 0.097 eV/atom ahead of the next structure.



1:
The following is a DFT calculation (PBE-GGA) of crystalline DyTlCd4 at its relaxed geometry.

Cell and atoms, written as POSCAR:
```
DyTlCd4
1.0
3.254 -8.962 0.000
3.254 8.962 0.000
0.000 0.000 5.057
Dy Tl Cd
2 2 8
Direct
0.123 0.877 0.750
0.877 0.123 0.250
0.382 0.618 0.250
0.618 0.382 0.750
0.037 0.456 0.750
0.195 0.280 0.750
0.280 0.195 0.250
0.456 0.037 0.250
0.544 0.963 0.750
0.720 0.805 0.750
0.805 0.720 0.250
0.963 0.544 0.250
```

Properties
Space group ... Cmcm, No. 63



2:
The following is a DFT calculation (PBE-GGA) of crystalline DyTlCd4 at its relaxed geometry.

Cell and atoms, written as POSCAR:
```
DyTlCd4
1.0
0.000 4.223 4.223
4.223 0.000 4.223
4.223 4.223 0.000
Dy Tl Cd
1 1 4
Direct
0.000 0.000 0.000
0.750 0.750 0.750
0.375 0.375 0.375
0.375 0.375 0.876
0.375 0.876 0.375
0.876 0.375 0.375
```

Properties
Space group ... F-43m, No. 216



1 wins, 0.087 eV/atom ahead of the next structure.



1:
The following is a DFT calculation (PBE-GGA) of crystalline Dy4TlCd2 at its relaxed geometry.

Cell and atoms, written as POSCAR:
```
Dy4TlCd2
1.0
2.622 1.514 8.444
-2.622 1.514 8.444
0.000 -3.028 8.444
Dy Tl Cd
4 1 2
Direct
0.116 0.116 0.116
0.370 0.370 0.370
0.630 0.630 0.630
0.884 0.884 0.884
0.500 0.500 0.500
0.247 0.247 0.247
0.753 0.753 0.753
```

Properties
Space group ... R-3m, No. 166



2:
The following is a DFT calculation (PBE-GGA) of crystalline Dy4TlCd2 at its relaxed geometry.

Cell and atoms, written as POSCAR:
```
Dy4TlCd2
1.0
2.521 1.456 9.850
-2.521 1.456 9.850
0.000 -2.911 9.850
Dy Tl Cd
4 1 2
Direct
0.121 0.121 0.121
0.299 0.299 0.299
0.701 0.701 0.701
0.879 0.879 0.879
0.500 0.500 0.500
0.402 0.402 0.402
0.598 0.598 0.598
```

Properties
Space group ... R-3m, No. 166



1 wins, 0.158 eV/atom ahead of the next structure.